Density functional theory data (PBE-GGA) for an optimized crystal structure of HfGa3Rh.

Raw total energy (eV for the cell shown): -25.74
Density (g/cm³): 8.0
SG: No. 221
Formation enthalpy at 0 K (eV/f.u.): 0.65
Excess energy over the best structure of this formula in the dataset (eV per atom): 0.616

a = 4.678 Å, b = 4.678 Å, c = 4.678 Å
α = 90.00°, β = 90.00°, γ = 90.00°
Fractional coordinates of all 5 atoms:
Rh 0.000 0.000 0.000
Ga 0.500 0.000 0.000
Hf 0.500 0.500 0.500
Ga 0.000 0.500 0.000
Ga 0.000 0.000 0.500